# 1
Mg6NbSnO8 (PBE, relaxed); raw total energy = -6.0180 eV per atom; crystal system = tetragonal; excess energy over the best structure of this formula in the dataset = 0 meV/atom; E_form (uncorrected) = -2061 meV per atom; calculated volume = 180.89 Å³/cell
1.0
4.508 0.000 0.000
0.000 4.508 0.000
0.000 0.000 8.902
Mg Nb Sn O
6 1 1 8
Direct
0.000 0.000 0.500
0.500 0.500 0.500
0.000 0.500 0.265
0.000 0.500 0.735
0.500 0.000 0.265
0.500 0.000 0.735
0.500 0.500 0.000
0.000 0.000 0.000
0.000 0.000 0.274
0.000 0.000 0.726
0.500 0.500 0.263
0.500 0.500 0.737
0.000 0.500 0.000
0.000 0.500 0.500
0.500 0.000 0.000
0.500 0.000 0.500

***

# 2
Sr3Mg2NbO8 (PBE, relaxed); raw total energy = -6.6625 eV per atom; crystal system = trigonal; E_form (uncorrected) = -2522 meV per atom; calculated volume = 209.64 Å³/cell
1.0
-4.673 2.807 -1.838
1.189 -5.248 -2.035
-3.919 -2.985 5.407
Sr Mg Nb O
3 2 1 8
Direct
0.333 0.667 0.630
0.667 0.333 0.370
0.000 0.000 0.000
0.333 0.667 0.207
0.667 0.333 0.793
0.000 0.000 0.500
0.333 0.667 0.949
0.667 0.333 0.051
0.162 0.838 0.336
0.838 0.162 0.664
0.162 0.324 0.336
0.838 0.676 0.664
0.676 0.838 0.336
0.324 0.162 0.664

***

# 3
Sr4MgNb3O12 (PBE, relaxed); raw total energy = -7.7147 eV per atom; crystal system = cubic; E_form (uncorrected) = -2813 meV per atom; calculated volume = 269.76 Å³/cell
1.0
7.050 0.000 0.000
-2.350 6.647 0.000
-2.350 -3.323 5.756
Sr Mg Nb O
4 1 3 12
Direct
0.500 0.500 0.500
0.000 0.000 0.500
0.500 0.000 0.000
0.000 0.500 0.000
0.000 0.000 0.000
0.500 0.000 0.500
0.500 0.500 0.000
0.000 0.500 0.500
0.250 0.500 0.750
0.744 0.000 0.744
0.256 0.000 0.256
0.750 0.500 0.250
0.744 0.744 0.000
0.256 0.256 0.000
0.750 0.250 0.500
0.250 0.750 0.500
0.500 0.250 0.750
0.000 0.744 0.744
0.500 0.750 0.250
0.000 0.256 0.256

***

# 4
Mg2NbTeO8 (PBE, relaxed); raw total energy = -6.5484 eV per atom; crystal system = orthorhombic; E_form (uncorrected) = -1876 meV per atom; calculated volume = 141.16 Å³/cell
1.0
4.738 -0.126 -0.002
-0.124 4.739 -0.005
0.004 0.007 6.291
Mg Nb Te O
2 1 1 8
Direct
0.500 0.500 0.751
0.500 0.500 0.249
0.000 0.000 0.500
0.000 0.000 0.000
0.187 0.813 0.240
0.709 0.709 0.000
0.813 0.187 0.240
0.813 0.187 0.760
0.291 0.291 0.000
0.187 0.813 0.760
0.703 0.703 0.500
0.297 0.297 0.500

***

# 5
MgTiNb2O (PBE, relaxed); raw total energy = -6.5224 eV per atom; crystal system = tetragonal; E_form (uncorrected) = 395 meV per atom; calculated volume = 96.95 Å³/cell
1.0
-4.996 -0.070 1.210
-0.640 -2.310 -2.777
0.815 -3.993 3.133
Nb Mg O Ti
2 1 1 1
Direct
0.000 0.000 0.500
0.500 0.000 0.000
0.500 0.500 0.500
0.000 0.500 0.000
0.000 0.000 0.000

***

# 6
MgNbTlO2 (PBE, relaxed); raw total energy = -3.9103 eV per atom; crystal system = tetragonal; E_form (uncorrected) = 879 meV per atom; calculated volume = 105.93 Å³/cell
1.0
4.341 0.000 0.000
0.000 5.623 0.000
0.000 0.000 4.341
Mg Tl Nb O
1 1 1 2
Direct
0.500 0.500 0.500
0.000 0.000 0.000
0.000 0.500 0.000
0.000 0.000 0.500
0.500 0.000 0.000